Entry 1:
A relaxed LiSmEu2 crystal, computed with GGA-PBE. Values from VASP.

Calculated values
energy relative to the lowest polymorph listed for this composition	1.93	kJ/mol of atoms
uncorrected energy	-6.689	eV/atom
ΔE_f	0.107	eV per atom
V	35.3	Å³ per atom

```
&SYSTEM
  ibrav = 0, nat = 4, ntyp = 3
/
ATOMIC_SPECIES
Li 6.94 Li.upf
Sm 150.36 Sm.upf
Eu 151.96 Eu.upf
CELL_PARAMETERS angstrom
1.848 1.067 11.930
-1.848 1.067 11.930
0.000 -2.134 11.930
ATOMIC_POSITIONS crystal
Li 0.000 0.000 0.000
Sm 0.500 0.500 0.500
Eu 0.253 0.253 0.253
Eu 0.747 0.747 0.747
```

---

Entry 2:
A relaxed MgOsSe2 crystal, computed with GGA-PBE. Values from VASP.

Calculated values
uncorrected energy	-4.976	eV/atom
E_form (uncorrected)	-0.03	eV/atom
V	19.5	Å³ per atom

```
&SYSTEM
  ibrav = 0, nat = 4, ntyp = 3
/
ATOMIC_SPECIES
Mg 24.30 Mg.upf
Os 190.23 Os.upf
Se 78.96 Se.upf
CELL_PARAMETERS angstrom
3.219 0.000 0.000
0.000 3.534 0.000
0.000 0.000 6.865
ATOMIC_POSITIONS crystal
Mg 0.000 0.000 0.000
Os 0.500 0.500 0.255
Se 0.000 0.000 0.411
Se 0.500 0.500 0.858
```

---

Entry 3:
A relaxed Nb3CoRe crystal, computed with GGA-PBE. Values from VASP.

Calculated values
energy relative to the lowest polymorph listed for this composition	0.00	kJ/mol of atoms
uncorrected energy	-9.007	eV/atom
ΔE_f	0.946	eV per atom
V	18.4	Å³ per atom

```
&SYSTEM
  ibrav = 0, nat = 5, ntyp = 3
/
ATOMIC_SPECIES
Nb 92.91 Nb.upf
Co 58.93 Co.upf
Re 186.21 Re.upf
CELL_PARAMETERS angstrom
4.518 0.000 0.000
0.000 4.518 0.000
0.000 0.000 4.518
ATOMIC_POSITIONS crystal
Nb 0.000 0.000 0.500
Nb 0.000 0.500 0.000
Nb 0.500 0.000 0.000
Co 0.000 0.000 0.000
Re 0.500 0.500 0.500
```

---

Entry 4:
A relaxed MgSb2Pd2 crystal, computed with GGA-PBE. Values from VASP.

Calculated values
energy relative to the lowest polymorph listed for this composition	0.00	kJ/mol of atoms
uncorrected energy	-4.516	eV/atom
E_form (uncorrected)	-0.47	eV/atom
V	20.9	Å³ per atom

```
&SYSTEM
  ibrav = 0, nat = 10, ntyp = 3
/
ATOMIC_SPECIES
Mg 24.30 Mg.upf
Sb 121.76 Sb.upf
Pd 106.42 Pd.upf
CELL_PARAMETERS angstrom
4.606 0.000 0.000
0.000 4.666 0.000
-0.001 0.000 9.707
ATOMIC_POSITIONS crystal
Mg 0.250 0.250 0.171
Mg 0.750 0.750 0.829
Sb 0.249 0.250 0.837
Sb 0.250 0.250 0.491
Sb 0.750 0.750 0.509
Sb 0.751 0.750 0.163
Pd 0.250 0.750 0.332
Pd 0.251 0.750 0.997
Pd 0.749 0.250 0.003
Pd 0.750 0.250 0.668
```

---

Entry 5:
A relaxed Sc3NiAg crystal, computed with GGA-PBE. Values from VASP.

Calculated values
energy relative to the lowest polymorph listed for this composition	0.00	kJ/mol of atoms
uncorrected energy	-5.781	eV/atom
ΔE_f	-0.256	eV per atom
V	20.0	Å³ per atom

```
&SYSTEM
  ibrav = 0, nat = 10, ntyp = 3
/
ATOMIC_SPECIES
Sc 44.96 Sc.upf
Ni 58.69 Ni.upf
Ag 107.87 Ag.upf
CELL_PARAMETERS angstrom
4.466 -2.970 0.000
4.466 2.970 0.000
-4.452 0.000 7.545
ATOMIC_POSITIONS crystal
Sc 0.079 0.079 0.282
Sc 0.298 0.298 0.717
Sc 0.301 0.301 0.101
Sc 0.699 0.699 0.899
Sc 0.702 0.702 0.283
Sc 0.921 0.921 0.718
Ni 0.251 0.749 0.000
Ni 0.749 0.251 0.000
Ag 0.279 0.721 0.500
Ag 0.721 0.279 0.500
```

---

Entry 6:
A relaxed CeErIN2 crystal, computed with GGA-PBE. Values from VASP.

Calculated values
uncorrected energy	-7.291	eV/atom
E_form (uncorrected)	-1.55	eV/atom
V	23.3	Å³ per atom

```
&SYSTEM
  ibrav = 0, nat = 10, ntyp = 4
/
ATOMIC_SPECIES
Ce 140.12 Ce.upf
Er 167.26 Er.upf
I 126.90 I.upf
N 14.01 N.upf
CELL_PARAMETERS angstrom
7.350 0.000 0.000
0.000 4.186 0.000
-2.546 0.000 7.586
ATOMIC_POSITIONS crystal
Ce 0.142 0.250 0.412
Ce 0.858 0.750 0.588
Er 0.132 0.250 0.916
Er 0.868 0.750 0.084
I 0.471 0.750 0.755
I 0.529 0.250 0.245
N 0.004 0.750 0.871
N 0.016 0.750 0.385
N 0.984 0.250 0.615
N 0.996 0.250 0.129
```

---

Entry 7:
A relaxed K2Pd2C crystal, computed with GGA-PBE. Values from VASP.

Calculated values
energy relative to the lowest polymorph listed for this composition	0.00	kJ/mol of atoms
uncorrected energy	-3.858	eV/atom
ΔE_f	0.502	eV per atom
V	19.2	Å³ per atom

```
&SYSTEM
  ibrav = 0, nat = 10, ntyp = 3
/
ATOMIC_SPECIES
K 39.10 K.upf
Pd 106.42 Pd.upf
C 12.01 C.upf
CELL_PARAMETERS angstrom
5.864 0.000 0.000
0.000 5.864 0.000
0.000 0.000 5.571
ATOMIC_POSITIONS crystal
K 0.178 0.322 0.000
K 0.322 0.822 0.000
K 0.678 0.178 0.000
K 0.822 0.678 0.000
Pd 0.186 0.686 0.500
Pd 0.314 0.186 0.500
Pd 0.686 0.814 0.500
Pd 0.814 0.314 0.500
C 0.000 0.000 0.500
C 0.500 0.500 0.500
```

---

Entry 8:
A relaxed Sm2DySb3 crystal, computed with GGA-PBE. Values from VASP.

Calculated values
uncorrected energy	-5.561	eV/atom
E_form (uncorrected)	-1.16	eV/atom
V	31.0	Å³ per atom

```
&SYSTEM
  ibrav = 0, nat = 12, ntyp = 3
/
ATOMIC_SPECIES
Sm 150.36 Sm.upf
Dy 162.50 Dy.upf
Sb 121.76 Sb.upf
CELL_PARAMETERS angstrom
4.438 0.000 0.000
0.000 13.341 0.000
0.000 0.000 6.282
ATOMIC_POSITIONS crystal
Sm 0.250 0.082 0.250
Sm 0.250 0.418 0.250
Sm 0.750 0.582 0.750
Sm 0.750 0.918 0.750
Dy 0.250 0.750 0.250
Dy 0.750 0.250 0.750
Sb 0.250 0.086 0.750
Sb 0.250 0.414 0.750
Sb 0.250 0.750 0.750
Sb 0.750 0.250 0.250
Sb 0.750 0.586 0.250
Sb 0.750 0.914 0.250
```

---

Entry 9:
A relaxed LiTb4Ho5 crystal, computed with GGA-PBE. Values from VASP.

Calculated values
uncorrected energy	-4.155	eV/atom
ΔE_f	0.177	eV per atom
V	31.3	Å³ per atom

```
&SYSTEM
  ibrav = 0, nat = 10, ntyp = 3
/
ATOMIC_SPECIES
Li 6.94 Li.upf
Tb 158.93 Tb.upf
Ho 164.93 Ho.upf
CELL_PARAMETERS angstrom
8.531 -1.760 0.000
8.531 1.760 0.000
-1.465 0.000 10.420
ATOMIC_POSITIONS crystal
Li 0.000 0.000 0.000
Tb 0.171 0.171 0.735
Tb 0.495 0.495 0.229
Tb 0.505 0.505 0.771
Tb 0.829 0.829 0.265
Ho 0.000 0.000 0.500
Ho 0.332 0.332 0.572
Ho 0.339 0.339 0.968
Ho 0.661 0.661 0.032
Ho 0.668 0.668 0.428
```

---

Entry 10:
A relaxed LaNd8Dy3 crystal, computed with GGA-PBE. Values from VASP.

Calculated values
uncorrected energy	-4.410	eV/atom
ΔE_f	0.330	eV per atom
V	37.2	Å³ per atom

```
&SYSTEM
  ibrav = 0, nat = 12, ntyp = 3
/
ATOMIC_SPECIES
La 138.91 La.upf
Nd 144.24 Nd.upf
Dy 162.50 Dy.upf
CELL_PARAMETERS angstrom
-3.331 5.721 5.853
3.331 -5.721 5.853
3.331 5.721 -5.853
ATOMIC_POSITIONS crystal
La 0.000 0.000 0.000
Nd 0.086 0.253 0.833
Nd 0.269 0.233 0.501
Nd 0.269 0.767 0.036
Nd 0.420 0.253 0.167
Nd 0.580 0.747 0.833
Nd 0.731 0.233 0.964
Nd 0.731 0.767 0.499
Nd 0.914 0.747 0.167
Dy 0.274 0.774 0.500
Dy 0.500 0.500 0.000
Dy 0.726 0.226 0.500
```

---

Entry 11:
A relaxed Ta2TiMo4 crystal, computed with GGA-PBE. Values from VASP.

Calculated values
uncorrected energy	-10.575	eV/atom
ΔE_f	0.128	eV per atom
V	17.0	Å³ per atom

```
&SYSTEM
  ibrav = 0, nat = 7, ntyp = 3
/
ATOMIC_SPECIES
Ta 180.95 Ta.upf
Ti 47.87 Ti.upf
Mo 95.94 Mo.upf
CELL_PARAMETERS angstrom
1.567 -12.189 0.000
1.567 12.189 0.000
0.000 0.000 3.121
ATOMIC_POSITIONS crystal
Ta 0.202 0.798 0.000
Ta 0.798 0.202 0.000
Ti 0.500 0.500 0.500
Mo 0.068 0.932 0.000
Mo 0.370 0.630 0.500
Mo 0.630 0.370 0.500
Mo 0.932 0.068 0.000
```

---

Entry 12:
A relaxed SrNp2SbO8 crystal, computed with GGA-PBE. Values from VASP.

Calculated values
uncorrected energy	-8.482	eV/atom
E_form (uncorrected)	-2.54	eV/atom
V	15.7	Å³ per atom

```
&SYSTEM
  ibrav = 0, nat = 12, ntyp = 4
/
ATOMIC_SPECIES
Sr 87.62 Sr.upf
Np 237.00 Np.upf
Sb 121.76 Sb.upf
O 16.00 O.upf
CELL_PARAMETERS angstrom
3.588 -3.721 0.000
3.588 3.721 0.000
0.000 0.000 7.069
ATOMIC_POSITIONS crystal
Sr 0.000 0.000 0.000
Np 0.500 0.500 0.252
Np 0.500 0.500 0.748
Sb 0.000 0.000 0.500
O 0.220 0.220 0.268
O 0.220 0.220 0.732
O 0.315 0.685 0.500
O 0.331 0.669 0.000
O 0.669 0.331 0.000
O 0.685 0.315 0.500
O 0.780 0.780 0.268
O 0.780 0.780 0.732
```

---

> Among the records above, which one has the highest V?

LaNd8Dy3